# GGA-PBE CaPm3Tl4, optimized geometry
# Total magnetization (μB/cell): 0.00
# ΔE_f (eV/atom): -0.400
# Density of states at the Fermi level (states/eV per cell): 4.763
data_CaPm3Tl4
_chemical_formula_sum 'Ca1 Pm3 Tl4'
_cell_length_a 3.8839
_cell_length_b 3.8839
_cell_length_c 15.5155
_cell_angle_alpha 90.00
_cell_angle_beta 90.00
_cell_angle_gamma 90.00
_symmetry_space_group_name_H-M 'P 4/m m m'
_symmetry_Int_Tables_number 123
_symmetry_space_group_name_Hall '-P 4 2'
loop_
_atom_site_label
_atom_site_fract_x
_atom_site_fract_y
_atom_site_fract_z
Ca1 0.0000 0.0000 0.0000
Pm1 0.0000 0.0000 0.2485
Pm2 0.0000 0.0000 0.5000
Tl1 0.5000 0.5000 0.1252
Tl2 0.5000 0.5000 0.3762